The following is a DFT calculation (SCAN) of a crystal of Li relaxed with PBEsol.

- Formation enthalpy at 0 K: 5 meV/atom
- Relative energy among the computed polymorphs: 5 meV/atom
- DOS at the Fermi energy: 0.453 states/eV per atom
- Volume: 19.88 A^3/atom
- Raw total energy: -2.385 eV/f.u.

CIF file:
```
data_Li
_chemical_formula_sum 'Li9'
_cell_length_a 3.0042
_cell_length_b 3.0042
_cell_length_c 22.8947
_cell_angle_alpha 90.00
_cell_angle_beta 90.00
_cell_angle_gamma 120.00
_space_group_name_H-M_alt 'R -3 m'
_space_group_IT_number 166
_space_group_name_Hall '-R 3 2"'
loop_
_atom_site_label
_atom_site_fract_x
_atom_site_fract_y
_atom_site_fract_z
Li1 0.0000 0.0000 0.0000
Li2 0.0000 0.0000 0.2222
```